! GGA-PBE KIn2, relaxed; values from VASP
! DFT total energy: -1.813 eV/atom
! E_form: 379 meV per atom
! calculated density: 3.375 g/cm3
&SYSTEM
  ibrav = 0, nat = 3, ntyp = 2
/
ATOMIC_SPECIES
K 39.10 K.upf
In 114.82 In.upf
CELL_PARAMETERS angstrom
6.4733 0.0000 0.0000
0.0000 6.4733 0.0000
0.0000 0.0000 3.1556
ATOMIC_POSITIONS angstrom
K 0.0000 0.0000 0.0000
In 0.0000 3.2366 1.5778
In 3.2366 0.0000 1.5778